[1]
DFT (GGA-PBE) results for a relaxed AlCdRu2 crystal.

Output
DFT formation energy = 0.88 kcal/mol of atoms

Cell: 2.8027 2.8027 8.6854 Å, 90.00 90.00 114.48°
Last column: nearest neighbours and their distance in Å.
Positions (direct):
Ru1 0.0000 0.0000 0.0245  2 Al 2.48
Ru2 0.0000 0.0000 0.4755  2 Al 2.48
Al1 0.5000 0.5000 0.2500  4 Ru 2.48
Cd1 0.5000 0.5000 0.7500  6 Cd 2.80-3.03, 4 Ru 2.83

***

[2]
DFT (GGA-PBE) results for a relaxed Pm4PdSe2Cl crystal.

Output
formation energy (no corrections) = -1.45 eV per atom

Cell: 4.0638 7.2695 7.3845 Å, 108.71 90.00 90.00°
Last column: nearest neighbours and their distance in Å.
Positions (direct):
Pm1 0.5000 0.2568 0.2567  3 Se 2.91-2.98, 1 Pd 2.98, 2 Cl 2.99
Pm2 0.5000 0.7432 0.7433  3 Se 2.91-2.98, 1 Pd 2.98, 2 Cl 2.99
Pm3 0.0000 0.2622 0.7585  2 Pd 2.88, 3 Se 2.96-3.01, 1 Cl 3.00
Pm4 0.0000 0.7378 0.2415  2 Pd 2.88, 3 Se 2.96-3.01, 1 Cl 3.00
Pd1 0.5000 0.5000 0.0000  6 Pm 2.88-2.98
Se1 0.5000 0.0000 0.5000  6 Pm 2.98-3.01
Se2 0.0000 0.5000 0.5000  6 Pm 2.91-2.96
Cl1 0.0000 0.0000 0.0000  6 Pm 2.99-3.00

***

Repeat the first record exactly.
DFT (GGA-PBE) results for a relaxed AlCdRu2 crystal.

Output
DFT formation energy = 0.88 kcal/mol of atoms

Cell: 2.8027 2.8027 8.6854 Å, 90.00 90.00 114.48°
Last column: nearest neighbours and their distance in Å.
Positions (direct):
Ru1 0.0000 0.0000 0.0245  2 Al 2.48
Ru2 0.0000 0.0000 0.4755  2 Al 2.48
Al1 0.5000 0.5000 0.2500  4 Ru 2.48
Cd1 0.5000 0.5000 0.7500  6 Cd 2.80-3.03, 4 Ru 2.83

***

Copy entry 1 word for word.
DFT (GGA-PBE) results for a relaxed AlCdRu2 crystal.

Output
DFT formation energy = 0.88 kcal/mol of atoms

Cell: 2.8027 2.8027 8.6854 Å, 90.00 90.00 114.48°
Last column: nearest neighbours and their distance in Å.
Positions (direct):
Ru1 0.0000 0.0000 0.0245  2 Al 2.48
Ru2 0.0000 0.0000 0.4755  2 Al 2.48
Al1 0.5000 0.5000 0.2500  4 Ru 2.48
Cd1 0.5000 0.5000 0.7500  6 Cd 2.80-3.03, 4 Ru 2.83